(1)
The following is a DFT calculation (PBE) of a relaxed structure of Tl2AgBr3.

The structure in extended XYZ format:
```
24
Lattice="-4.291 -0.264 1.632 0.112 -9.387 -1.227 6.706 -2.179 17.274" Properties=species:S:1:pos:R:3 pbc="T T T"
Tl 5.408 -4.615 16.705
Tl -2.881 -7.216 0.974
Tl -0.093 -3.446 8.912
Tl 2.620 -8.384 8.767
Tl 1.591 -2.527 13.487
Tl 0.936 -9.304 4.192
Tl 0.421 -4.461 3.621
Tl 2.106 -7.370 14.058
Ag 3.228 -4.989 10.915
Ag -0.701 -6.841 6.763
Ag -2.299 -1.647 3.406
Ag 4.825 -10.183 14.272
Br 4.177 -4.730 13.452
Br -1.650 -7.101 4.227
Br -1.336 -2.527 5.794
Br 3.863 -9.303 11.885
Br 2.831 -2.275 16.787
Br -0.304 -9.555 0.892
Br 1.676 -5.523 6.750
Br 0.851 -6.307 10.929
Br 2.770 -2.413 10.129
Br -0.243 -9.417 7.550
Br -2.699 -3.944 1.983
Br 5.226 -7.887 15.696
```

The density is 6.2 g/cm3. For the total magnetization, the calculation gives 0.000 μB per formula unit. As for the calculated total energy: -2.79 eV/atom. As for the energy above the lowest structure with this stoichiometry: 0 meV per atom. As for the uncorrected formation energy: -0.69 eV per atom. The space group is No. 62. As for the volume: 812.3 Å³ per cell.

=====

(2)
The following is a DFT calculation (PBE) of a relaxed structure of Tl2AgBr8.

The structure in extended XYZ format:
```
11
Lattice="-5.173 1.007 4.885 -5.351 -3.480 -5.040 0.583 -7.825 2.139" Properties=species:S:1:pos:R:3 pbc="T T T"
Tl -7.059 -7.970 1.010
Tl -2.883 -2.328 0.973
Ag 0.000 0.000 0.000
Br -1.926 -8.086 1.376
Br -4.242 -4.975 5.173
Br -5.350 -8.630 -0.802
Br -4.592 -1.668 2.786
Br -5.699 -5.324 -3.189
Br -8.015 -2.212 0.608
Br -6.860 -5.728 2.203
Br -3.081 -4.570 -0.219
```

The density is 4.1 g/cm3. For the total magnetization, the calculation gives 1.020 μB per formula unit. As for the calculated total energy: -2.28 eV/atom. As for the uncorrected formation energy: -0.38 eV per atom. The space group is No. 12. As for the volume: 465.6 Å³ per cell.

=====

(3)
The following is a DFT calculation (PBE) of a relaxed structure of TlAgBr2.

The structure in extended XYZ format:
```
4
Lattice="0.000 3.823 3.823 3.823 0.000 3.823 3.823 3.823 0.000" Properties=species:S:1:pos:R:3 pbc="T T T"
Tl 3.823 3.823 3.823
Br 1.912 1.912 1.912
Br 5.735 5.735 5.735
Ag 0.000 0.000 0.000
```

The density is 7.0 g/cm3. For the total magnetization, the calculation gives 0.000 μB per formula unit. As for the calculated total energy: -2.54 eV/atom. As for the uncorrected formation energy: -0.40 eV per atom. The space group is No. 225. As for the volume: 111.8 Å³ per cell.

=====

(4)
The following is a DFT calculation (PBE) of a relaxed structure of Tl2AgBr6.

The structure in extended XYZ format:
```
18
Lattice="-8.182 -0.378 -2.852 0.500 -4.693 -8.440 -3.415 -8.429 3.287" Properties=species:S:1:pos:R:3 pbc="T T T"
Tl -4.500 -9.708 -3.080
Tl -3.339 -4.399 -1.001
Tl -6.596 -3.793 -4.925
Tl -7.758 -9.101 -7.003
Ag -5.225 -8.299 1.870
Ag -5.871 -5.202 -9.874
Br -6.438 -8.456 -4.654
Br -8.853 -5.333 -4.466
Br -4.658 -5.045 -3.351
Br -2.243 -8.167 -3.539
Br -6.976 -7.604 -9.123
Br -5.804 -3.790 -7.517
Br -4.120 -5.897 1.118
Br -5.292 -9.711 -0.488
Br -4.171 -12.267 -3.988
Br -3.557 -1.734 -0.428
Br -6.926 -1.234 -4.017
Br -7.540 -11.767 -7.577
```

The density is 4.4 g/cm3. For the total magnetization, the calculation gives 0.000 μB per formula unit. As for the calculated total energy: -2.38 eV/atom. As for the energy above the lowest structure with this stoichiometry: 0 meV per atom. As for the uncorrected formation energy: -0.42 eV per atom. The space group is No. 15. As for the volume: 755.8 Å³ per cell.

=====

(5)
The following is a DFT calculation (PBE) of a relaxed structure of TlAg5Br12.

The structure in extended XYZ format:
```
18
Lattice="6.823 0.000 0.061 3.412 6.287 0.031 0.124 0.000 13.366" Properties=species:S:1:pos:R:3 pbc="T T T"
Tl 0.124 0.000 13.366
Ag 3.474 0.000 6.713
Ag 3.474 4.191 6.713
Ag 6.885 2.097 6.744
Ag 6.824 4.238 0.061
Ag 3.412 2.049 0.030
Br 8.993 6.287 5.239
Br 1.366 0.000 8.218
Br 4.790 0.000 11.745
Br 5.569 6.287 1.712
Br 4.791 4.253 11.854
Br 8.979 4.252 1.634
Br 1.380 2.035 11.823
Br 5.568 2.035 1.603
Br 4.779 2.099 8.250
Br 8.190 4.189 8.281
Br 2.169 2.099 5.176
Br 5.580 4.189 5.207
```

The density is 4.9 g/cm3. For the total magnetization, the calculation gives 1.542 μB per formula unit. As for the calculated total energy: -2.29 eV/atom. As for the uncorrected formation energy: -0.25 eV per atom. The space group is No. 12. As for the volume: 573.3 Å³ per cell.

=====

(6)
The following is a DFT calculation (PBE) of a relaxed structure of TlAgBr2.

The structure in extended XYZ format:
```
16
Lattice="-0.980 -4.326 -0.179 1.779 -0.715 7.563 -14.120 3.049 3.610" Properties=species:S:1:pos:R:3 pbc="T T T"
Tl -2.549 -2.892 1.265
Tl -10.772 0.899 9.729
Tl -4.676 -2.598 5.818
Tl -8.644 0.605 5.177
Ag -0.635 -1.192 4.769
Ag -5.712 0.070 2.059
Ag -12.685 -0.800 6.225
Ag -7.608 -2.062 8.936
Br -7.032 -1.961 3.311
Br -6.288 -0.032 7.684
Br 0.206 -3.689 5.469
Br -13.527 1.697 5.526
Br -11.053 -1.055 3.434
Br -3.026 -0.608 3.746
Br -10.295 -1.384 7.249
Br -2.267 -0.937 7.561
```

The density is 6.1 g/cm3. For the total magnetization, the calculation gives 0.000 μB per formula unit. As for the calculated total energy: -2.74 eV/atom. As for the uncorrected formation energy: -0.60 eV per atom. The space group is No. 62. As for the volume: 515.7 Å³ per cell.

=====

(7)
The following is a DFT calculation (PBE) of a relaxed structure of TlAgBr2.

The structure in extended XYZ format:
```
4
Lattice="8.212 0.011 0.004 6.284 5.286 -0.004 -7.201 -2.776 2.805" Properties=species:S:1:pos:R:3 pbc="T T T"
Tl 6.578 2.404 0.000
Br 0.914 0.334 0.000
Br 4.485 0.072 1.404
Ag 2.565 2.360 1.401
```

The density is 6.5 g/cm3. For the total magnetization, the calculation gives 0.000 μB per formula unit. As for the calculated total energy: -2.65 eV/atom. As for the uncorrected formation energy: -0.51 eV per atom. The space group is No. 44. As for the volume: 121.5 Å³ per cell.

=====

(8)
The following is a DFT calculation (PBE) of a relaxed structure of Tl2AgBr.

The structure in extended XYZ format:
```
4
Lattice="3.874 0.000 0.000 0.000 3.833 0.029 0.000 3.791 7.722" Properties=species:S:1:pos:R:3 pbc="T T T"
Tl 0.000 3.829 0.183
Tl 0.000 3.815 3.722
Br 1.937 5.718 5.813
Ag 1.937 1.906 1.938
```

The density is 8.7 g/cm3. For the total magnetization, the calculation gives 0.000 μB per formula unit. As for the calculated total energy: -2.50 eV/atom. As for the energy above the lowest structure with this stoichiometry: 51 meV per atom. As for the uncorrected formation energy: -0.19 eV per atom. The space group is No. 10. As for the volume: 114.2 Å³ per cell.

=====

(9)
The following is a DFT calculation (PBE) of a relaxed structure of Tl2AgBr.

The structure in extended XYZ format:
```
4
Lattice="-6.361 5.713 2.320 -6.808 5.433 -1.621 -8.409 2.683 0.762" Properties=species:S:1:pos:R:3 pbc="T T T"
Tl -0.058 0.037 0.004
Tl -5.108 3.273 0.346
Br -16.456 10.546 1.113
Ag -10.746 6.887 0.727
```

The density is 8.5 g/cm3. For the total magnetization, the calculation gives 0.000 μB per formula unit. As for the calculated total energy: -2.43 eV/atom. As for the energy above the lowest structure with this stoichiometry: 124 meV per atom. As for the uncorrected formation energy: -0.11 eV per atom. The space group is No. 160. As for the volume: 117.1 Å³ per cell.

=====

(10)
The following is a DFT calculation (PBE) of a relaxed structure of Tl4AgBr5.

The structure in extended XYZ format:
```
10
Lattice="-3.869 -2.422 -4.880 3.741 -1.115 -6.987 -0.217 -7.989 -0.438" Properties=species:S:1:pos:R:3 pbc="T T T"
Tl -0.267 -7.747 -5.089
Tl -0.271 -7.658 -9.705
Tl -0.071 -3.866 -2.596
Tl -0.074 -3.777 -7.212
Ag -0.200 -0.125 -0.252
Br -2.307 -9.234 -7.271
Br 1.975 -6.664 -7.367
Br -2.285 -4.841 -4.894
Br 1.997 -2.270 -4.991
Br -1.849 -1.157 -2.332
```

The density is 6.2 g/cm3. For the total magnetization, the calculation gives 0.000 μB per formula unit. As for the calculated total energy: -2.81 eV/atom. As for the uncorrected formation energy: -0.74 eV per atom. The space group is No. 79. As for the volume: 353.5 Å³ per cell.

=====

(11)
The following is a DFT calculation (PBE) of a relaxed structure of TlAg3Br6.

The structure in extended XYZ format:
```
20
Lattice="-2.696 -5.160 5.123 9.548 -1.636 -1.153 -0.314 8.812 4.182" Properties=species:S:1:pos:R:3 pbc="T T T"
Tl -0.915 0.985 7.452
Tl 5.392 -1.688 2.209
Ag 6.562 2.484 5.158
Ag 6.961 6.071 3.110
Ag 2.404 1.627 3.998
Ag 2.280 -2.247 5.899
Ag 0.758 1.211 1.241
Ag 0.402 -2.418 3.263
Br 6.851 3.504 2.521
Br 4.027 2.485 5.880
Br 4.264 6.047 3.734
Br 6.359 -0.177 4.431
Br 0.205 7.407 4.638
Br -0.338 3.745 6.682
Br 7.568 -0.621 0.572
Br 7.263 -4.078 2.652
Br 0.824 3.471 2.743
Br 3.067 -2.913 3.367
Br 3.562 0.754 1.647
Br 0.659 -0.180 5.048
```

The density is 5.4 g/cm3. For the total magnetization, the calculation gives 0.000 μB per formula unit. As for the calculated total energy: -2.45 eV/atom. As for the energy above the lowest structure with this stoichiometry: 17 meV per atom. As for the uncorrected formation energy: -0.35 eV per atom. The space group is No. 9. As for the volume: 623.6 Å³ per cell.

=====

(12)
The following is a DFT calculation (PBE) of a relaxed structure of TlAg3Br4.

The structure in extended XYZ format:
```
16
Lattice="-5.062 -4.875 -3.612 -2.178 -2.931 7.008 -5.663 5.485 0.534" Properties=species:S:1:pos:R:3 pbc="T T T"
Tl 0.000 0.000 0.000
Tl -6.452 -1.160 1.965
Ag -2.505 -0.094 3.637
Ag -5.336 2.648 3.904
Ag -4.097 1.524 -0.636
Ag -3.076 -3.170 -0.054
Ag -4.165 -4.636 3.450
Ag -6.628 -0.914 -2.442
Br -3.226 -0.580 0.982
Br -4.315 -2.046 4.486
Br -6.057 2.162 1.250
Br -7.146 0.697 4.753
Br -5.757 -3.018 -0.824
Br -8.589 -0.275 -0.556
Br -6.846 -4.483 2.680
Br -9.677 -1.741 2.947
```

The density is 5.7 g/cm3. For the total magnetization, the calculation gives 0.000 μB per formula unit. As for the calculated total energy: -2.60 eV/atom. As for the energy above the lowest structure with this stoichiometry: 61 meV per atom. As for the uncorrected formation energy: -0.40 eV per atom. The space group is No. 223. As for the volume: 493.4 Å³ per cell.

=====

Question: Which value of calculated total energy does entry 3 give?
Answer: -2.54 eV/atom